# PBE Y3CF3, relaxed
data_Y3CF3
_space_group_name_H-M_alt 'R -3'
_space_group_IT_number 148
_space_group_name_Hall '-R 3'
_cell_length_a 6.3711
_cell_length_b 6.3711
_cell_length_c 19.5584
_cell_angle_alpha 90.00
_cell_angle_beta 90.00
_cell_angle_gamma 120.00
loop_
_atom_site_label
_atom_site_type_symbol
_atom_site_fract_x
_atom_site_fract_y
_atom_site_fract_z
Y1 Y 0.0012 0.6450 0.4285
C1 C 0.0000 0.0000 0.1668
F1 F 0.0073 0.6919 0.6278
# formation energy from raw total energies: -2.440 eV per atom